## Li4Co3Ni3Te2O16 (PBE+U)

Data for a relaxed structure of Li4Co3Ni3Te2O16.

Properties
VASP energy = -5.410 eV per atom
Theoretical density = 5.2 g/cm3

Lattice parameters (Å, degrees): 5.867 5.867 9.518 91.46 91.46 59.51
Element x y z (fractional)
Li  0.000  0.000  0.000
Li  0.002  0.002  0.501
Li  0.344  0.344  0.579
Li  0.676  0.676  0.081
Co  0.175  0.663  0.276
Co  0.663  0.175  0.276
Co  0.832  0.832  0.774
Ni  0.174  0.174  0.276
Ni  0.344  0.833  0.777
Ni  0.833  0.344  0.777
Te  0.336  0.336  0.005
Te  0.671  0.671  0.504
O  0.042  0.501  0.144
O  0.169  0.169  0.905
O  0.170  0.664  0.897
O  0.337  0.836  0.399
O  0.347  0.347  0.374
O  0.488  0.488  0.151
O  0.501  0.042  0.144
O  0.526  0.526  0.636
O  0.535  0.974  0.642
O  0.664  0.170  0.897
O  0.680  0.680  0.876
O  0.836  0.337  0.399
O  0.836  0.836  0.391
O  0.974  0.535  0.642
O  0.996  0.996  0.189
O  0.996  0.996  0.690